(1)
First-principles (PBE) data for a relaxed structure of Y5Ho3Se8, as listed in Alexandria.

Lattice parameters (Å, degrees): 8.1462 8.1462 19.9981 90.00 90.00 120.00
With the nearest neighbours (Å) after each atom.
Space group R-3m (No. 166, hexagonal axes)
Unique sites:
Y (0.0000, 0.0000, 0.0000) x3  6 Se 2.88
Y (0.0000, 0.0000, 0.5000) x3  6 Se 2.88
Y (0.0000, 0.5000, 0.0000) x9  6 Se 2.90
Ho (0.0000, 0.5000, 0.5000) x9  6 Se 2.87
Se (0.0000, 0.0000, 0.2489) x6  3 Ho 2.87, 3 Y 2.90
Se (0.0015, 0.5007, 0.7507) x18  2 Ho 2.87, 4 Y 2.88-2.90

Results
Raw formation energy: -1.744 eV/atom
DFT total energy: -6.3643 eV/atom


(2)
First-principles (PBE) data for a relaxed structure of Sr2Zn2Cl, as listed in Alexandria.

Lattice parameters (Å, degrees): 3.9294 3.9294 18.7585 90.00 90.00 90.00
With the nearest neighbours (Å) after each atom.
Space group I4/mmm (No. 139)
Unique sites:
Sr (0.0000, 0.0000, 0.1131) x4  4 Zn 3.23, 4 Cl 3.50
Zn (0.0000, 0.5000, 0.2500) x4  4 Zn 2.78
Cl (0.0000, 0.0000, 0.5000) x2  8 Sr 3.50

Results
Raw formation energy: -0.587 eV/atom
DFT total energy: -2.1388 eV/atom
Excess energy over the best structure of this formula in the dataset: 295 meV/atom


(3)
First-principles (PBE) data for a relaxed structure of Tb5TlTe4, as listed in Alexandria.

Lattice parameters (Å, degrees): 4.3745 4.3745 31.2640 90.00 90.00 90.00
With the nearest neighbours (Å) after each atom.
Space group I4/mmm (No. 139)
Unique sites:
Tb (0.0000, 0.0000, 0.0000) x2  4 Tl 3.09, 2 Te 3.23
Tb (0.0000, 0.0000, 0.2036) x4  6 Te 3.10-3.14
Tb (0.0000, 0.0000, 0.4036) x4  1 Tl 3.01, 5 Te 3.10-3.16
Tl (0.0000, 0.0000, 0.5000) x2  6 Tb 3.01-3.09
Te (0.0000, 0.0000, 0.1032) x4  6 Tb 3.10-3.23
Te (0.0000, 0.0000, 0.3026) x4  6 Tb 3.10-3.16

Results
Raw formation energy: -1.121 eV/atom
DFT total energy: -4.9292 eV/atom
Excess energy over the best structure of this formula in the dataset: 37 meV/atom


(4)
First-principles (PBE) data for a relaxed structure of Pa2GaSi, as listed in Alexandria.

Lattice parameters (Å, degrees): 6.3098 8.2469 6.3853 90.00 90.00 90.00
With the nearest neighbours (Å) after each atom.
Space group Imma (No. 74)
Unique sites:
Pa (0.2500, 0.0275, 0.2500) x8  4 Si 3.05-3.08, 4 Ga 3.07-3.08, 4 Pa 3.15-3.22
Ga (0.0000, 0.2500, 0.5473) x4  1 Si 2.63
Si (0.0000, 0.2500, 0.9589) x4  1 Ga 2.63

Results
Raw formation energy: -0.311 eV/atom
DFT total energy: -7.1718 eV/atom
Excess energy over the best structure of this formula in the dataset: 0 meV/atom


Look up the raw formation energy of the fourth one. -0.311 eV/atom


What is the raw formation energy in the third record? -1.121 eV/atom


Among the records above, which one has the highest raw formation energy? Pa2GaSi